No. 1
Here is a relaxed structure of Li3Co from Alexandria via LeMat-Bulk. Energies are from PBE.

It has space group R-3m (No. 166, hexagonal axes), with a = 2.6092 Å, b = 2.6092 Å, c = 28.4825 Å, α = 90.00°, β = 90.00° and γ = 120.00°. Symmetry generates all atoms from Li at (0.0000, 0.0000, 0.0000), Li at (0.0000, 0.0000, 0.2409) and Co at (0.0000, 0.0000, 0.5000).

Its crystal system is trigonal. The calculation puts the calculated total energy at -3.05 eV/atom. Its total moment is 3.52 μB per cell. The density of states at the Fermi level comes out at 0.717 states/eV/atom.

=====

No. 2
Here is a relaxed structure of LaBPRh6 from Alexandria via LeMat-Bulk. Energies are from PBE.

It has space group Imma (No. 74), with a = 6.8879 Å, b = 8.1080 Å, c = 10.9567 Å, α = 90.00°, β = 90.00° and γ = 90.00°. Symmetry generates all atoms from La at (0.0000, 0.2500, 0.1659), B at (0.0000, 0.0000, 0.5000), P at (0.2500, 0.2500, 0.7500), Rh at (0.0000, 0.2500, 0.4652), Rh at (0.0000, 0.2500, 0.8858) and Rh at (0.2149, 0.0219, 0.6272).

Its crystal system is orthorhombic. The calculation puts the calculated total energy at -7.08 eV/atom. Its total moment is 0.00 μB per cell. The density of states at the Fermi level comes out at 0.977 states/eV/atom.